Entry 1:
! GGA-PBE LaCeV, relaxed; values from VASP
&SYSTEM
  ibrav = 0, nat = 6, ntyp = 3
/
ATOMIC_SPECIES
La 138.91 La.upf
Ce 140.12 Ce.upf
V 50.94 V.upf
ATOMIC_POSITIONS crystal
La 0.245 0.226 0.101
La 0.755 0.774 0.899
Ce 0.488 0.388 0.655
Ce 0.512 0.612 0.345
V 0.174 0.858 0.596
V 0.826 0.142 0.404
CELL_PARAMETERS angstrom
3.276 0.000 0.000
0.262 4.679 0.000
1.031 1.789 9.760
! Crystal system   triclinic
! Energy of formation from the pure elements   0.315 eV per atom
! Space-group type   No. 2

=====

Entry 2:
! GGA-PBE TbZnSn, relaxed; values from VASP
&SYSTEM
  ibrav = 0, nat = 6, ntyp = 3
/
ATOMIC_SPECIES
Tb 158.93 Tb.upf
Zn 65.41 Zn.upf
Sn 118.71 Sn.upf
ATOMIC_POSITIONS crystal
Tb 0.000 0.000 0.000
Tb 0.000 0.000 0.500
Zn 0.333 0.667 0.250
Zn 0.667 0.333 0.750
Sn 0.333 0.667 0.750
Sn 0.667 0.333 0.250
CELL_PARAMETERS angstrom
4.679 0.000 0.000
-2.339 4.052 0.000
0.000 0.000 7.198
! Crystal system   hexagonal
! Energy of formation from the pure elements   -0.537 eV per atom
! Space-group type   No. 194

=====

Entry 3:
! GGA-PBE CeGeBi2, relaxed; values from VASP
&SYSTEM
  ibrav = 0, nat = 4, ntyp = 3
/
ATOMIC_SPECIES
Ce 140.12 Ce.upf
Ge 72.64 Ge.upf
Bi 208.98 Bi.upf
ATOMIC_POSITIONS crystal
Ce 0.000 0.000 0.000
Ge 0.000 0.000 0.500
Bi 0.500 0.500 0.253
Bi 0.500 0.500 0.747
CELL_PARAMETERS angstrom
4.219 0.000 0.000
0.000 4.219 0.000
0.000 0.000 6.309
! Crystal system   tetragonal
! Energy of formation from the pure elements   -0.283 eV per atom
! Space-group type   No. 123
! Distance to the lowest polymorph of the same formula   0.126 eV per atom

=====

Entry 4:
! GGA-PBE Re2ICl8, relaxed; values from VASP
&SYSTEM
  ibrav = 0, nat = 11, ntyp = 3
/
ATOMIC_SPECIES
Re 186.21 Re.upf
I 126.90 I.upf
Cl 35.45 Cl.upf
ATOMIC_POSITIONS crystal
Re 0.121 0.121 0.199
Re 0.879 0.879 0.801
I 0.000 0.000 0.500
Cl 0.101 0.699 0.803
Cl 0.183 0.183 0.929
Cl 0.301 0.899 0.197
Cl 0.397 0.397 0.294
Cl 0.603 0.603 0.706
Cl 0.699 0.101 0.803
Cl 0.817 0.817 0.071
Cl 0.899 0.301 0.197
CELL_PARAMETERS angstrom
3.947 -5.682 0.000
3.947 5.682 0.000
-0.877 0.000 8.434
! Crystal system   monoclinic
! Formation energy (no corrections)   -416 meV/atom
! Space-group type   No. 12

=====

Entry 5:
! GGA-PBE Dy2Y3Er2, relaxed; values from VASP
&SYSTEM
  ibrav = 0, nat = 14, ntyp = 3
/
ATOMIC_SPECIES
Dy 162.50 Dy.upf
Y 88.91 Y.upf
Er 167.26 Er.upf
ATOMIC_POSITIONS crystal
Dy 0.065 0.000 0.410
Dy 0.435 0.500 0.590
Dy 0.565 0.500 0.410
Dy 0.935 0.000 0.590
Y 0.000 0.500 0.000
Y 0.212 0.500 0.300
Y 0.288 0.000 0.700
Y 0.500 0.000 0.000
Y 0.712 0.000 0.300
Y 0.788 0.500 0.700
Er 0.147 0.500 0.824
Er 0.353 0.000 0.176
Er 0.647 0.000 0.824
Er 0.853 0.500 0.176
CELL_PARAMETERS angstrom
17.367 0.000 0.000
0.000 3.489 0.000
-4.163 0.000 7.428
! Crystal system   monoclinic
! Energy of formation from the pure elements   0.122 eV per atom
! Space-group type   No. 12
! Distance to the lowest polymorph of the same formula   0.098 eV per atom

=====

Entry 6:
! GGA-PBE Pr2SbCl2, relaxed; values from VASP
&SYSTEM
  ibrav = 0, nat = 15, ntyp = 3
/
ATOMIC_SPECIES
Pr 140.91 Pr.upf
Sb 121.76 Sb.upf
Cl 35.45 Cl.upf
ATOMIC_POSITIONS crystal
Pr 0.000 0.000 0.107
Pr 0.000 0.000 0.893
Pr 0.333 0.667 0.560
Pr 0.333 0.667 0.774
Pr 0.667 0.333 0.226
Pr 0.667 0.333 0.440
Sb 0.000 0.000 0.500
Sb 0.333 0.667 0.167
Sb 0.667 0.333 0.833
Cl 0.000 0.000 0.277
Cl 0.000 0.000 0.723
Cl 0.333 0.667 0.390
Cl 0.333 0.667 0.944
Cl 0.667 0.333 0.056
Cl 0.667 0.333 0.610
CELL_PARAMETERS angstrom
4.364 0.000 0.000
-2.182 3.780 0.000
0.000 0.000 30.996
! Crystal system   trigonal
! Formation energy (no corrections)   -1700 meV/atom
! Space-group type   No. 166

=====

| no. | total magnetization (μB/atom) | mass density (g/cm³) |
| --- | --- | --- |
| 1 | 0.0000 | 7.33 |
| 2 | 0.0000 | 8.35 |
| 3 | 0.1774 | 9.33 |
| 4 | 0.4528 | 3.44 |
| 5 | 0.0000 | 6.84 |
| 6 | 0.0000 | 4.62 |